Entry one
## AlTlW2 (GGA-PBEsol)

Data for a relaxed structure of AlTlW2.

a = 4.8277 Å, b = 4.8277 Å, c = 2.8727 Å
α = 90.00°, β = 90.00°, γ = 90.00°
Closest atoms and distances in Å follow each position.
Atoms (fractional coordinates):
Al: 0.0000 0.0000 0.0000  8 W 2.81, 2 Al 2.87
Tl: 0.5000 0.5000 0.0000  8 W 2.81, 2 Tl 2.87
W: 0.0000 0.5000 0.5000  4 Tl 2.81, 4 Al 2.81, 2 W 2.87
W: 0.5000 0.0000 0.5000  4 Tl 2.81, 4 Al 2.81, 2 W 2.87

Entry two
## AlTlW2 (GGA-PBEsol)

Data for a relaxed structure of AlTlW2.

a = 5.2457 Å, b = 5.2457 Å, c = 5.2457 Å
α = 142.46°, β = 128.48°, γ = 65.47°
Closest atoms and distances in Å follow each position.
Atoms (fractional coordinates):
Al: 0.0000 0.0000 0.0000  6 W 2.75-2.85, 2 Tl 2.86
Tl: 0.2622 0.7622 0.5000  8 W 2.84-3.07, 4 Al 2.86-3.10
W: 0.5298 0.5298 0.0000  2 W 2.60, 4 Al 2.85, 2 Tl 2.90
W: 0.7544 0.2544 0.5000  2 W 2.60, 2 Al 2.75, 4 Tl 2.84

Most stable of them? entry two.

Entry one
## YAl2Tl (GGA-PBEsol)

Data for a relaxed structure of YAl2Tl.

a = 6.3448 Å, b = 6.3448 Å, c = 6.3448 Å
α = 103.00°, β = 103.00°, γ = 123.37°
Closest atoms and distances in Å follow each position.
Atoms (fractional coordinates):
Y: 0.0000 0.0000 0.0000  2 Tl 3.01, 4 Al 3.06
Y: 0.7500 0.2500 0.5000  2 Tl 3.01, 4 Al 3.06
Al: 0.1554 0.1250 0.5304  2 Tl 2.73, 2 Al 3.05, 2 Y 3.06
Al: 0.3750 0.8446 0.9696  2 Tl 2.73, 2 Al 3.05, 2 Y 3.06
Al: 0.5946 0.6250 0.4696  2 Tl 2.73, 2 Al 3.05, 2 Y 3.06
Al: 0.8750 0.4054 0.0304  2 Tl 2.73, 2 Al 3.05, 2 Y 3.06
Tl: 0.2500 0.7500 0.5000  4 Al 2.73, 2 Y 3.01
Tl: 0.5000 0.5000 0.0000  4 Al 2.73, 2 Y 3.01

Entry two
## YAl2Tl (GGA-PBEsol)

Data for a relaxed structure of YAl2Tl.

a = 3.5519 Å, b = 3.5519 Å, c = 6.8827 Å
α = 90.00°, β = 90.00°, γ = 90.00°
Closest atoms and distances in Å follow each position.
Atoms (fractional coordinates):
Y: 0.0000 0.0000 0.0000  5 Al 3.12-3.13, 4 Tl 3.26
Al: 0.0000 0.0000 0.4547  4 Al 2.82, 4 Tl 3.01, 1 Y 3.13
Al: 0.5000 0.5000 0.2680  4 Al 2.82, 1 Tl 2.95, 4 Y 3.12
Tl: 0.5000 0.5000 0.6970  5 Al 2.95-3.01, 4 Y 3.26

Entry three
## YAl2Tl (GGA-PBEsol)

Data for a relaxed structure of YAl2Tl.

a = 4.9950 Å, b = 4.9950 Å, c = 4.9950 Å
α = 60.00°, β = 60.00°, γ = 60.00°
Closest atoms and distances in Å follow each position.
Atoms (fractional coordinates):
Y: 0.0000 0.0000 0.0000  4 Al 3.06, 4 Tl 3.06
Al: 0.5000 0.5000 0.5000  4 Al 3.06, 4 Tl 3.06
Al: 0.7500 0.7500 0.7500  4 Y 3.06, 4 Al 3.06
Tl: 0.2500 0.2500 0.2500  4 Al 3.06, 4 Y 3.06

Most stable of them? entry two.

Entry one
## Al2TlZn (GGA-PBEsol)

Data for a relaxed structure of Al2TlZn.

a = 2.8832 Å, b = 3.8874 Å, c = 6.9449 Å
α = 90.00°, β = 90.00°, γ = 90.00°
Closest atoms and distances in Å follow each position.
Atoms (fractional coordinates):
Al: 0.0000 0.0000 0.0000  4 Zn 2.75, 6 Al 2.84-2.88
Al: 0.5000 0.5000 0.2131  1 Zn 2.79, 6 Al 2.84-2.88
Tl: 0.0000 0.0000 0.5211  2 Tl 2.88, 4 Zn 3.15
Zn: 0.5000 0.5000 0.8119  5 Al 2.75-2.79, 2 Zn 2.88

Entry two
## Al2TlZn (GGA-PBEsol)

Data for a relaxed structure of Al2TlZn.

a = 5.7788 Å, b = 5.7788 Å, c = 5.7788 Å
α = 149.11°, β = 127.41°, γ = 62.25°
Closest atoms and distances in Å follow each position.
Atoms (fractional coordinates):
Al: 0.0000 0.0000 0.0000  4 Al 2.82-3.08, 4 Zn 3.01, 2 Tl 3.15
Al: 0.7608 0.2608 0.5000  2 Zn 2.67, 2 Al 2.82
Tl: 0.2781 0.7781 0.5000  6 Al 2.99-3.15, 2 Zn 3.01, 2 Tl 3.08
Zn: 0.5402 0.5402 0.0000  2 Al 2.67

Most stable of them? entry one.

Entry one
## Al8V5 (GGA-PBEsol)

Data for a relaxed structure of Al8V5.

a = 7.8804 Å, b = 7.8804 Å, c = 7.8804 Å
α = 109.47°, β = 109.47°, γ = 109.47°
Closest atoms and distances in Å follow each position.
Atoms (fractional coordinates):
Al: 0.0000 0.0000 0.7770  6 V 2.59-2.71, 6 Al 2.76-2.87
Al: 0.0000 0.2911 0.6566  4 V 2.59-2.85, 5 Al 2.67-2.76
Al: 0.0000 0.6566 0.2911  4 V 2.59-2.85, 5 Al 2.67-2.76
Al: 0.0000 0.7770 0.0000  6 V 2.59-2.71, 6 Al 2.76-2.87
Al: 0.2230 0.2230 0.2230  6 V 2.59-2.71, 6 Al 2.76-2.87
Al: 0.2911 0.0000 0.6566  4 V 2.59-2.85, 5 Al 2.67-2.76
Al: 0.2911 0.6566 0.0000  4 V 2.59-2.85, 5 Al 2.67-2.76
Al: 0.3434 0.3434 0.6345  4 V 2.59-2.85, 5 Al 2.67-2.76
Al: 0.3434 0.6345 0.3434  4 V 2.59-2.85, 5 Al 2.67-2.76
Al: 0.3655 0.7089 0.7089  4 V 2.59-2.85, 5 Al 2.67-2.76
Al: 0.6345 0.3434 0.3434  4 V 2.59-2.85, 5 Al 2.67-2.76
Al: 0.6566 0.0000 0.2911  4 V 2.59-2.85, 5 Al 2.67-2.76
Al: 0.6566 0.2911 0.0000  4 V 2.59-2.85, 5 Al 2.67-2.76
Al: 0.7089 0.3655 0.7089  4 V 2.59-2.85, 5 Al 2.67-2.76
Al: 0.7089 0.7089 0.3655  4 V 2.59-2.85, 5 Al 2.67-2.76
Al: 0.7770 0.0000 0.0000  6 V 2.59-2.71, 6 Al 2.76-2.87
V: 0.0000 0.0000 0.3471  9 Al 2.59-2.74, 3 V 2.74
V: 0.0000 0.3471 0.0000  9 Al 2.59-2.74, 3 V 2.74
V: 0.0000 0.3485 0.3485  6 Al 2.59-2.85, 3 V 2.74-2.76
V: 0.0000 0.6515 0.6515  6 Al 2.59-2.85, 3 V 2.74-2.76
V: 0.3471 0.0000 0.0000  9 Al 2.59-2.74, 3 V 2.74
V: 0.3485 0.0000 0.3485  6 Al 2.59-2.85, 3 V 2.74-2.76
V: 0.3485 0.3485 0.0000  6 Al 2.59-2.85, 3 V 2.74-2.76
V: 0.6515 0.0000 0.6515  6 Al 2.59-2.85, 3 V 2.74-2.76
V: 0.6515 0.6515 0.0000  6 Al 2.59-2.85, 3 V 2.74-2.76
V: 0.6529 0.6529 0.6529  9 Al 2.59-2.74, 3 V 2.74

Entry two
## Al8V5 (GGA-PBEsol)

Data for a relaxed structure of Al8V5.

a = 7.9325 Å, b = 7.9325 Å, c = 7.8668 Å
α = 108.83°, β = 108.83°, γ = 110.28°
Closest atoms and distances in Å follow each position.
Atoms (fractional coordinates):
Al: 0.0000 0.0000 0.0000  3 V 2.59-2.63, 7 Al 2.76-2.85
Al: 0.0894 0.3544 0.9541  4 V 2.64-2.74, 6 Al 2.65-2.91
Al: 0.1073 0.6967 0.6158  4 V 2.60-2.76, 6 Al 2.77-2.88
Al: 0.3478 0.9934 0.2462  6 Al 2.64-2.91, 5 V 2.67-2.76
Al: 0.3544 0.0894 0.9541  4 V 2.64-2.74, 6 Al 2.65-2.91
Al: 0.3542 0.7032 0.3387  7 Al 2.64-2.90, 3 V 2.67-2.70
Al: 0.5921 0.5921 0.1873  5 V 2.57-2.71, 5 Al 2.76-2.82
Al: 0.6012 0.9573 0.8649  5 V 2.63-2.81, 5 Al 2.69-2.92
Al: 0.6967 0.1073 0.6158  4 V 2.60-2.76, 6 Al 2.77-2.88
Al: 0.7007 0.7007 0.6012  4 V 2.61-2.76, 7 Al 2.64-2.92
Al: 0.7032 0.3542 0.3387  7 Al 2.64-2.90, 3 V 2.67-2.70
Al: 0.7281 0.9889 0.2500  4 V 2.64-2.71, 6 Al 2.76-2.91
Al: 0.9573 0.6012 0.8649  5 V 2.63-2.81, 5 Al 2.69-2.92
Al: 0.9889 0.7281 0.2500  4 V 2.64-2.71, 6 Al 2.76-2.91
Al: 0.9934 0.3478 0.2462  6 Al 2.64-2.91, 5 V 2.67-2.76
Al: 0.9926 0.9926 0.6017  4 V 2.61-2.73, 7 Al 2.64-2.91
V: 0.0086 0.3390 0.5946  4 V 2.58-2.79, 8 Al 2.60-2.73
V: 0.1375 0.1375 0.3938  6 V 2.58-2.66, 6 Al 2.61-2.71
V: 0.3390 0.0086 0.5946  4 V 2.58-2.79, 8 Al 2.60-2.73
V: 0.3400 0.3400 0.7960  8 V 2.59-2.67, 4 Al 2.60-2.68
V: 0.3480 0.3480 0.2686  3 V 2.55-2.59, 9 Al 2.63-2.76
V: 0.3489 0.6890 0.9534  4 V 2.61-2.79, 7 Al 2.66-2.81
V: 0.3495 0.5472 0.5971  7 V 2.55-2.66, 5 Al 2.60-2.71
V: 0.5472 0.3495 0.5971  7 V 2.55-2.66, 5 Al 2.60-2.71
V: 0.6852 0.6852 0.9330  7 Al 2.57-2.69, 5 V 2.62-2.73
V: 0.6890 0.3489 0.9534  4 V 2.61-2.79, 7 Al 2.66-2.81

Most stable of them? entry two.

Entry one
## YAl2W (GGA-PBEsol)

Data for a relaxed structure of YAl2W.

a = 5.0934 Å, b = 5.0934 Å, c = 2.9040 Å
α = 90.00°, β = 90.00°, γ = 109.26°
Closest atoms and distances in Å follow each position.
Atoms (fractional coordinates):
Y: 0.0000 0.0000 0.0000  2 Y 2.90, 8 Al 2.93, 2 W 2.95
Al: 0.0000 0.5000 0.5000  4 Al 2.90-2.95, 4 W 2.93, 4 Y 2.93
Al: 0.5000 0.0000 0.5000  4 Al 2.90-2.95, 4 W 2.93, 4 Y 2.93
W: 0.5000 0.5000 0.0000  2 W 2.90, 8 Al 2.93, 2 Y 2.95

Entry two
## YAl2W (GGA-PBEsol)

Data for a relaxed structure of YAl2W.

a = 5.3335 Å, b = 5.3335 Å, c = 5.1126 Å
α = 103.70°, β = 103.70°, γ = 30.41°
Closest atoms and distances in Å follow each position.
Atoms (fractional coordinates):
Y: 0.0000 0.0000 0.0000  2 Y 2.80, 7 Al 2.88-2.97
Al: 0.4750 0.4750 0.4986  4 Al 2.74-2.80, 3 W 2.81-2.95, 4 Y 2.88-2.97
Al: 0.7602 0.7602 0.2036  4 Al 2.74-2.80, 4 W 2.84-3.05, 3 Y 2.90-2.97
W: 0.2182 0.2182 0.6594  2 W 2.80, 7 Al 2.81-3.05

Most stable of them? entry one.

Entry one
## Y5Al4 (GGA-PBEsol)

Data for a relaxed structure of Y5Al4.

a = 8.9210 Å, b = 8.9210 Å, c = 6.3479 Å
α = 90.00°, β = 90.00°, γ = 120.00°
Closest atoms and distances in Å follow each position.
Atoms (fractional coordinates):
Y: 0.0000 0.2878 0.2500  7 Al 2.99-3.25
Y: 0.0000 0.7122 0.7500  7 Al 2.99-3.25
Y: 0.2878 0.0000 0.2500  7 Al 2.99-3.25
Y: 0.2878 0.2878 0.7500  7 Al 2.99-3.25
Y: 0.3333 0.6667 0.0000  2 Y 3.17, 6 Al 3.25
Y: 0.3333 0.6667 0.5000  2 Y 3.17, 6 Al 3.25
Y: 0.6667 0.3333 0.0000  2 Y 3.17, 6 Al 3.25
Y: 0.6667 0.3333 0.5000  2 Y 3.17, 6 Al 3.25
Y: 0.7122 0.0000 0.7500  7 Al 2.99-3.25
Y: 0.7122 0.7122 0.2500  7 Al 2.99-3.25
Al: 0.0000 0.0000 0.0000  6 Y 3.02, 2 Al 3.17
Al: 0.0000 0.0000 0.5000  6 Y 3.02, 2 Al 3.17
Al: 0.0000 0.3677 0.7500  9 Y 2.99-3.25
Al: 0.0000 0.6323 0.2500  9 Y 2.99-3.25
Al: 0.3677 0.0000 0.7500  9 Y 2.99-3.25
Al: 0.3677 0.3677 0.2500  9 Y 2.99-3.25
Al: 0.6323 0.0000 0.2500  9 Y 2.99-3.25
Al: 0.6323 0.6323 0.7500  9 Y 2.99-3.25

Entry two
## Y5Al4 (GGA-PBEsol)

Data for a relaxed structure of Y5Al4.

a = 7.1229 Å, b = 7.1229 Å, c = 7.1229 Å
α = 95.87°, β = 95.87°, γ = 142.71°
Closest atoms and distances in Å follow each position.
Atoms (fractional coordinates):
Y: 0.0000 0.0000 0.0000  8 Y 3.27, 4 Al 3.31
Y: 0.3267 0.3267 0.6533  6 Y 3.08-3.31, 6 Al 3.12-3.27
Y: 0.3267 0.6733 0.0000  6 Y 3.08-3.31, 6 Al 3.12-3.27
Y: 0.6733 0.3267 0.0000  6 Y 3.08-3.31, 6 Al 3.12-3.27
Y: 0.6733 0.6733 0.3467  6 Y 3.08-3.31, 6 Al 3.12-3.27
Al: 0.0000 0.3469 0.3469  5 Al 2.92-3.08, 6 Y 3.12-3.27
Al: 0.0000 0.6531 0.6531  5 Al 2.92-3.08, 6 Y 3.12-3.27
Al: 0.3469 0.0000 0.3469  5 Al 2.92-3.08, 6 Y 3.12-3.27
Al: 0.6531 0.0000 0.6531  5 Al 2.92-3.08, 6 Y 3.12-3.27

Most stable of them? entry one.